This record from the Alexandria database describes a relaxed TiMnCd2Au crystal. The functional is PBE.

a b c (Å): 5.2867 4.2273 5.2867
angles (deg): 90.00 90.00 90.00
Each line ends with the local moment (μB).
Sites, in units of the cell vectors:
1 Ti 0.0000 0.0000 0.0000  -1.03
2 Mn 0.0000 0.5000 0.0000  2.52
3 Au 0.5000 0.5000 0.5000  0.02
4 Cd 0.0000 0.0000 0.5000  -0.04
5 Cd 0.5000 0.0000 0.0000  -0.06

Values from the calculation:
Fermi-level density of states   3.03 states/eV/f.u.
Spin magnetization   0.2689 μB per atom
Energy of formation   936 meV per atom
Final energy   -17.494 eV per cell
Calculated density   7.373 g cm⁻³